Material: Na2LaNiO4
Method: DFT, PBE with a Hubbard U
State: relaxed

Unit cell a=5.717 b=5.717 c=6.417 alpha=90.00 beta=90.00 gamma=90.00
Space group I-4m2 (No. 119)
Unique sites:
Na 0.000 0.000 0.000 x2
Na 0.000 0.500 0.250 x2
La 0.000 0.500 0.750 x2
Ni 0.000 0.000 0.500 x2
O 0.227 0.227 0.500 x8

## Properties
The calculation puts the total magnetization at 1.0 μB/f.u. For the total DFT energy (no corrections), the calculation gives -5.50 eV per atom.